Here is an optimized crystal structure of Ta4Rh3 from the Alexandria database. Energies are from GGA-PBEsol.

Properties
Energy of formation from the pure elements (eV per formula unit): -2.69
Size of the total moment (μB per formula unit): 0.00
Polymorph energy (0 for the lowest one) (eV/atom): 0.0000

```
Ta4Rh3
1.0
5.1032 0.0000 0.0000
-2.5516 4.4195 0.0000
0.0000 0.0000 4.9277
Ta Rh
4 3
direct
0.0000 0.0000 0.2482
0.0000 0.0000 0.7518
0.3333 0.6667 0.0000
0.6667 0.3333 0.0000
0.0000 0.5000 0.5000
0.5000 0.0000 0.5000
0.5000 0.5000 0.5000
```